DFT (GGA-PBE) results for an optimized crystal structure of Ce2ErTc.

a b c (Å): 3.7749 3.7749 9.1317
angles (deg): 78.07 78.07 60.00
Fractional coordinates of all 4 atoms:
Ce: 0.2713 0.2713 0.1861
Ce: 0.7287 0.7287 0.8139
Tc: 0.0000 0.0000 0.0000
Er: 0.5000 0.5000 0.5000

M_tot: 0.000 μB/atom

***

DFT (GGA-PBE) results for an optimized crystal structure of CeEr2Tc2.

a b c (Å): 4.2304 5.8709 5.8714
angles (deg): 58.18 68.88 68.88
Fractional coordinates of all 5 atoms:
Er: 0.3025 0.1975 0.6975
Er: 0.6975 0.8025 0.3025
Tc: 0.0000 0.7676 0.7325
Tc: 0.0000 0.2324 0.2675
Ce: 0.5000 0.5000 0.0000

M_tot: 0.000 μB/atom

***

DFT (GGA-PBE) results for an optimized crystal structure of Ce2ErTc.

a b c (Å): 3.4362 3.4362 8.5458
angles (deg): 90.00 90.00 90.00
Last column: magnetic moment on the atom in μB.
Fractional coordinates of all 4 atoms:
Ce: 0.0000 0.0000 0.2031  0.33
Ce: 0.0000 0.0000 0.7969  0.33
Er: 0.5000 0.5000 0.5000  0.19
Tc: 0.5000 0.5000 0.0000  -0.02

M_tot: 0.263 μB/atom

***

DFT (GGA-PBE) results for an optimized crystal structure of CeErTc.

a b c (Å): 4.7750 4.7750 4.7750
angles (deg): 60.00 60.00 60.00
Fractional coordinates of all 3 atoms:
Er: 0.0000 0.0000 0.0000
Ce: 0.5000 0.5000 0.5000
Tc: 0.2500 0.2500 0.2500

M_tot: 0.000 μB/atom

***

DFT (GGA-PBE) results for an optimized crystal structure of Ce2ErTc.

a b c (Å): 3.8499 3.8499 8.9550
angles (deg): 77.59 77.59 60.00
Fractional coordinates of all 4 atoms:
Tc: 0.6651 0.6651 0.0048
Ce: 0.2728 0.2728 0.1816
Ce: 0.0612 0.0612 0.8165
Er: 0.5010 0.5010 0.4971

M_tot: 0.001 μB/atom

***

DFT (GGA-PBE) results for an optimized crystal structure of CeEr2Tc.

a b c (Å): 6.1877 3.8226 9.4452
angles (deg): 90.00 90.00 107.98
Fractional coordinates of all 8 atoms:
Ce: 0.3345 0.9175 0.2500
Ce: 0.6655 0.0825 0.7500
Er: 0.7862 0.6434 0.0715
Er: 0.2138 0.3566 0.9285
Er: 0.2138 0.3566 0.5715
Er: 0.7862 0.6434 0.4285
Tc: 0.0553 0.2780 0.2500
Tc: 0.9447 0.7220 0.7500

M_tot: 0.000 μB/atom

***

DFT (GGA-PBE) results for an optimized crystal structure of CeErTc2.

a b c (Å): 4.8250 4.8250 4.8250
angles (deg): 60.00 60.00 60.00
Fractional coordinates of all 4 atoms:
Er: 0.0000 0.0000 0.0000
Tc: 0.7500 0.7500 0.7500
Tc: 0.2500 0.2500 0.2500
Ce: 0.5000 0.5000 0.5000

M_tot: 0.000 μB/atom

***

DFT (GGA-PBE) results for an optimized crystal structure of Ce2ErTc.

a b c (Å): 6.0973 7.1384 9.6093
angles (deg): 90.00 90.00 90.00
Fractional coordinates of all 16 atoms:
Er: 0.1292 0.9477 0.7500
Er: 0.8708 0.0523 0.2500
Er: 0.6292 0.5523 0.2500
Er: 0.3708 0.4477 0.7500
Tc: 0.8940 0.5768 0.7500
Tc: 0.1060 0.4232 0.2500
Tc: 0.6060 0.0768 0.7500
Tc: 0.3940 0.9232 0.2500
Ce: 0.1446 0.6599 0.4370
Ce: 0.1446 0.6599 0.0630
Ce: 0.3554 0.1599 0.0630
Ce: 0.3554 0.1599 0.4370
Ce: 0.8554 0.3401 0.9370
Ce: 0.6446 0.8401 0.9370
Ce: 0.8554 0.3401 0.5630
Ce: 0.6446 0.8401 0.5630

M_tot: 0.000 μB/atom

***

DFT (GGA-PBE) results for an optimized crystal structure of CeErTc.

a b c (Å): 3.4688 4.7149 4.7149
angles (deg): 120.00 90.00 90.00
Fractional coordinates of all 3 atoms:
Tc: 0.0387 0.0000 0.0000
Ce: 0.2639 0.6667 0.3333
Er: 0.6975 0.3333 0.6667

M_tot: 0.000 μB/atom

***

DFT (GGA-PBE) results for an optimized crystal structure of Ce3Er2Tc2.

a b c (Å): 4.0750 6.1730 7.8358
angles (deg): 96.88 105.08 109.28
Fractional coordinates of all 7 atoms:
Er: 0.6640 0.5123 0.8157
Er: 0.3360 0.4877 0.1843
Tc: 0.9400 0.1214 0.7590
Tc: 0.0600 0.8786 0.2410
Ce: 0.1702 0.7942 0.5464
Ce: 0.5000 0.0000 0.0000
Ce: 0.8298 0.2058 0.4536

M_tot: 0.000 μB/atom

***

DFT (GGA-PBE) results for an optimized crystal structure of CeErTc.

a b c (Å): 3.3989 3.3989 6.8211
angles (deg): 104.43 104.43 90.00
Fractional coordinates of all 3 atoms:
Tc: 0.6715 0.6715 0.3430
Er: 0.0333 0.0333 0.0667
Ce: 0.2952 0.2952 0.5904

M_tot: 0.000 μB/atom

***

DFT (GGA-PBE) results for an optimized crystal structure of CeEr2Tc.

a b c (Å): 6.2850 7.1346 9.4872
angles (deg): 90.00 90.00 90.00
Fractional coordinates of all 16 atoms:
Er: 0.8310 0.3234 0.9354
Er: 0.6690 0.8234 0.5646
Er: 0.3310 0.1766 0.4354
Er: 0.3310 0.1766 0.0646
Er: 0.1690 0.6766 0.4354
Er: 0.1690 0.6766 0.0646
Er: 0.6690 0.8234 0.9354
Er: 0.8310 0.3234 0.5646
Ce: 0.3614 0.4459 0.7500
Ce: 0.1386 0.9459 0.7500
Ce: 0.6386 0.5541 0.2500
Ce: 0.8614 0.0541 0.2500
Tc: 0.0022 0.3636 0.2500
Tc: 0.4978 0.8636 0.2500
Tc: 0.5022 0.1364 0.7500
Tc: 0.9978 0.6364 0.7500

M_tot: 0.000 μB/atom

***

DFT (GGA-PBE) results for an optimized crystal structure of CeEr4Tc2.

a b c (Å): 6.3690 8.1097 7.6876
angles (deg): 114.32 90.00 90.00
Fractional coordinates of all 14 atoms:
Er: 0.7500 0.0127 0.3860
Er: 0.4960 0.5897 0.2431
Er: 0.2500 0.9873 0.6140
Er: 0.2500 0.2527 0.3202
Er: 0.7500 0.7473 0.6798
Er: 0.9960 0.4103 0.7569
Er: 0.0040 0.5897 0.2431
Er: 0.5040 0.4103 0.7569
Tc: 0.7500 0.3558 0.3875
Tc: 0.7500 0.7362 0.0248
Tc: 0.2500 0.6442 0.6125
Tc: 0.2500 0.2638 0.9752
Ce: 0.7500 0.1819 0.0493
Ce: 0.2500 0.8181 0.9507

M_tot: 0.000 μB/atom

***

DFT (GGA-PBE) results for an optimized crystal structure of Ce2Er3Tc2.

a b c (Å): 3.8352 6.1521 8.6784
angles (deg): 101.96 102.75 108.14
Fractional coordinates of all 7 atoms:
Er: 0.7980 0.1806 0.4162
Er: 0.2020 0.8194 0.5838
Er: 0.5000 0.0000 0.0000
Ce: 0.3662 0.5340 0.1980
Ce: 0.6338 0.4660 0.8020
Tc: 0.0179 0.8165 0.2198
Tc: 0.9821 0.1835 0.7802

M_tot: 0.000 μB/atom

***

DFT (GGA-PBE) results for an optimized crystal structure of CeEr2Tc.

a b c (Å): 3.4222 3.4222 8.8428
angles (deg): 90.00 90.00 90.00
Last column: magnetic moment on the atom in μB.
Fractional coordinates of all 4 atoms:
Tc: 0.5000 0.5000 0.0000  0.30
Er: 0.0000 0.0000 0.1851  0.13
Er: 0.0000 0.0000 0.8149  0.13
Ce: 0.5000 0.5000 0.5000  1.11

M_tot: 0.544 μB/atom

***

DFT (GGA-PBE) results for an optimized crystal structure of CeErTc.

a b c (Å): 3.5327 5.0525 8.1013
angles (deg): 75.05 90.02 90.00
Fractional coordinates of all 6 atoms:
Ce: 0.5229 0.8337 0.9875
Ce: 0.0230 0.3420 0.0594
Er: 0.0227 0.7928 0.6400
Er: 0.5231 0.3828 0.4069
Tc: 0.5224 0.2477 0.7762
Tc: 0.0234 0.9280 0.2707

M_tot: 0.000 μB/atom

***

DFT (GGA-PBE) results for an optimized crystal structure of CeErTlTc.

a b c (Å): 3.4047 3.4047 8.3706
angles (deg): 90.00 90.00 90.00
Fractional coordinates of all 4 atoms:
Er: 0.5000 0.5000 0.7768
Tl: 0.0000 0.0000 0.0659
Tc: 0.0000 0.0000 0.5684
Ce: 0.5000 0.5000 0.3736

M_tot: 0.000 μB/atom

***

DFT (GGA-PBE) results for an optimized crystal structure of CeErTlTc.

a b c (Å): 5.1194 5.1194 5.1194
angles (deg): 60.00 60.00 60.00
Fractional coordinates of all 4 atoms:
Er: 0.0000 0.0000 0.0000
Ce: 0.5000 0.5000 0.5000
Tc: 0.2500 0.2500 0.2500
Tl: 0.7500 0.7500 0.7500

M_tot: 0.001 μB/atom

***

DFT (GGA-PBE) results for an optimized crystal structure of Ce4Er3Te8.

a b c (Å): 8.7449 8.7449 9.6197
angles (deg): 62.97 62.97 60.00
Last column: magnetic moment on the atom in μB.
Fractional coordinates of all 15 atoms:
Te: 0.7503 0.2294 0.2699  0.01
Te: 0.7679 0.7679 0.6962  0.01
Te: 0.2294 0.7503 0.2699  0.01
Te: 0.2321 0.2321 0.3038  0.01
Te: 0.7503 0.7503 0.2699  0.01
Te: 0.7706 0.2497 0.7301  0.01
Te: 0.2497 0.2497 0.7301  0.01
Te: 0.2497 0.7706 0.7301  0.01
Ce: 0.3571 0.3571 0.9288  -1.17
Ce: 0.0000 0.0000 0.0000  1.08
Ce: 0.5000 0.5000 0.5000  -1.01
Ce: 0.6429 0.6429 0.0712  -1.17
Er: 0.0000 0.5000 0.5000  -0.01
Er: 0.5000 0.0000 0.5000  -0.01
Er: 0.0000 0.0000 0.5000  -0.01

Formation energy without anion corrections: -1131 meV per atom
M_tot: 0.188 μB/atom

***

DFT (GGA-PBE) results for an optimized crystal structure of CeEr3Te2.

a b c (Å): 4.1186 8.4502 11.3867
angles (deg): 108.86 90.00 104.11
Last column: magnetic moment on the atom in μB.
Fractional coordinates of all 12 atoms:
Er: 0.0612 0.1224 0.4060  0.01
Er: 0.9388 0.8776 0.5940  0.01
Er: 0.7180 0.4360 0.3784  -0.04
Er: 0.3780 0.7560 0.3358  0.00
Er: 0.6220 0.2440 0.6642  0.00
Er: 0.2820 0.5640 0.6216  -0.04
Te: 0.7714 0.5429 0.1469  0.01
Te: 0.4824 0.9648 0.8238  0.02
Te: 0.2286 0.4571 0.8531  0.01
Te: 0.5176 0.0352 0.1762  0.02
Ce: 0.8819 0.7637 0.9611  -1.07
Ce: 0.1181 0.2363 0.0389  -1.07

Formation energy without anion corrections: -808 meV per atom
M_tot: 0.229 μB/atom

***

Uncorrected energy for every record listed, in sequence, given in eV per atom: -6.545 -7.325 -6.644 -6.890 -6.546 -6.500 -7.799 -6.790 -6.912 -6.889 -7.031 -6.551 -6.465 -6.749 -6.310 -7.015 -6.019 -5.828 -5.302 -5.126.